VASP calculation (PBE with a Hubbard U) on an optimized crystal structure of KRb3V2F9.

Values from the calculation:
The magnetization is 5.0 μB/f.u. The calculation puts the electronic total energy at -77.773 eV/f.u.

```
data_KRb3V2F9
_cell_length_a 6.2022
_cell_length_b 6.2022
_cell_length_c 7.7527
_cell_angle_alpha 90.00
_cell_angle_beta 90.00
_cell_angle_gamma 120.00
_symmetry_space_group_name_H-M 'P -3 m 1'
_symmetry_Int_Tables_number 164
_symmetry_space_group_name_Hall '-P 3 2"'
loop_
_atom_site_label
_atom_site_type_symbol
_atom_site_fract_x
_atom_site_fract_y
_atom_site_fract_z
K1 K 0.0000 0.0000 0.0000
Rb1 Rb 0.0000 0.0000 0.5000
Rb2 Rb 0.3333 0.6667 0.1571
V1 V 0.3333 0.6667 0.6461
F1 F 0.0000 0.5000 0.5000
F2 F 0.1822 0.3643 0.7960
```